# 1
# MgScGa4, optimized geometry, DFT PBE-GGA
data_MgScGa4
_chemical_formula_sum 'Mg4 Sc4 Ga16'
_cell_length_a 7.604
_cell_length_b 7.604
_cell_length_c 7.604
_cell_angle_alpha 90.00
_cell_angle_beta 90.00
_cell_angle_gamma 90.00
_space_group_name_H-M_alt 'F -4 3 m'
_space_group_IT_number 216
_space_group_name_Hall 'F -4 2 3'
loop_
_atom_site_label
_atom_site_type_symbol
_atom_site_fract_x
_atom_site_fract_y
_atom_site_fract_z
Mg1 Mg 0.000 0.000 0.000
Sc1 Sc 0.250 0.250 0.750
Ga1 Ga 0.125 0.125 0.375
# Total DFT energy (no corrections) ... -3.584 eV/atom
# Distance to the lowest polymorph of the same formula ... 99.5 meV per atom
# Total magnetization ... 0.00 μB/atom
# Energy relative to the elements ... -1.5 eV per formula unit

---

# 2
# AcPm4Os, optimized geometry, DFT PBE-GGA
data_AcPm4Os
_chemical_formula_sum 'Ac4 Pm16 Os4'
_cell_length_a 17.916
_cell_length_b 7.844
_cell_length_c 6.010
_cell_angle_alpha 90.00
_cell_angle_beta 108.80
_cell_angle_gamma 90.00
_space_group_name_H-M_alt 'C 1 2/m 1'
_space_group_IT_number 12
_space_group_name_Hall '-C 2y'
loop_
_atom_site_label
_atom_site_type_symbol
_atom_site_fract_x
_atom_site_fract_y
_atom_site_fract_z
Ac1 Ac 0.199 0.000 0.205
Pm1 Pm 0.000 0.209 0.000
Pm2 Pm 0.114 0.249 0.620
Pm3 Pm 0.159 0.500 0.161
Os1 Os 0.006 0.500 0.721
# Total DFT energy (no corrections) ... -5.721 eV/atom
# Total magnetization ... 0.00 μB/atom
# Energy relative to the elements ... 0.0 eV per formula unit